VASP calculation (PBE-GGA) on a relaxed structure of SmDyHo2Th.

Cell and atoms, written as POSCAR:
```
SmDyHo2Th
1.0
3.535 0.000 0.000
0.000 5.609 0.000
0.000 0.000 8.667
Sm Dy Ho Th
1 1 2 1
Direct
0.000 0.000 0.000
0.500 0.000 0.500
0.000 0.500 0.321
0.000 0.500 0.679
0.500 0.500 0.000
```

Summary:
DFT total energy: -4.854 eV per atom
DFT formation energy: 0.325 eV/atom
SG: Pmmm (47)
D(E_F): 8.95 states/eV per cell